No. 1
First-principles (PBE) data for a relaxed structure of Ti3Re2Ag, as listed in Alexandria via LeMat-Bulk.

Calculated values
ΔE_f   -288 meV/atom
N(E_F)   4.79 states/eV/f.u.
Calculated total energy   -53.163 eV/f.u.

Cell: 3.1351 3.1351 9.8308 Å, 90.00 90.00 90.00°
Last column: nearest neighbours and their distance in Å.
Space group P4/mmm (No. 123)
Symmetry-distinct sites (fractional):
Ti1 0.0000 0.0000 0.0000  8 Re 2.73, 2 Ti 3.01
Ti2 0.0000 0.0000 0.3066  4 Re 2.63, 4 Ag 2.92
Re1 0.5000 0.5000 0.1620  8 Ti 2.63-2.73
Ag1 0.5000 0.5000 0.5000  8 Ti 2.92, 4 Ag 3.14

No. 2
First-principles (PBE) data for a relaxed structure of Th3HgPt, as listed in Alexandria via LeMat-Bulk.

Calculated values
ΔE_f   -437 meV/atom
N(E_F)   5.71 states/eV/f.u.
Calculated total energy   -30.786 eV/f.u.

Cell: 3.9778 12.9319 11.5587 Å, 90.00 90.00 90.00°
Last column: nearest neighbours and their distance in Å.
Space group Cmcm (No. 63)
Symmetry-distinct sites (fractional):
Th1 0.0000 0.0446 0.2500  2 Pt 2.95, 2 Hg 3.24
Th2 0.0000 0.3498 0.0664  2 Pt 2.88, 2 Hg 3.23
Hg1 0.0000 0.2581 0.7500  6 Th 3.23-3.24
Pt1 0.0000 0.0000 0.0000  6 Th 2.88-2.95